{
  "formula": "Ho2Si2Ge",
  "functional": "GGA-PBE",
  "state": "optimized geometry",
  "relative_energy_mev_per_atom": 0,
  "formation_energy_uncorrected_ev_per_atom": -0.642,
  "cell": [[-6.6822, 1.4339, 1.7243], [-2.1980, -3.1119, -5.9301], [-0.5245, -7.2580, 4.0032]],
  "species": ["Ho", "Ho", "Ho", "Ho", "Ho", "Ho", "Ho", "Ho", "Si", "Si", "Si", "Si", "Si", "Si", "Si", "Si", "Ge", "Ge", "Ge", "Ge"],
  "fractional_positions": [[0.6806, 0.8193, 0.5000], [0.3194, 0.1807, 0.5000], [0.8194, 0.3193, 0.0000], [0.1806, 0.6807, 0.0000], [0.8193, 0.3194, 0.5000], [0.1807, 0.6806, 0.5000], [0.3193, 0.1806, 0.0000], [0.6807, 0.8194, 0.0000], [0.3811, 0.8811, 0.2500], [0.6189, 0.1189, 0.2500], [0.1189, 0.3811, 0.7500], [0.8811, 0.6189, 0.7500], [0.8811, 0.6189, 0.2500], [0.1189, 0.3811, 0.2500], [0.3811, 0.8811, 0.7500], [0.6189, 0.1189, 0.7500], [0.5000, 0.5000, 0.2500], [0.0000, 0.0000, 0.7500], [0.5000, 0.5000, 0.7500], [0.0000, 0.0000, 0.2500]]
}